DFT (PBE) results for K2CeO2F2 after structural relaxation.

SG: No. 139
Uncorrected formation energy: -2.96 eV per atom
Final energy: -6.0704 eV per atom

abc: 4.384 4.384 7.656
angles: 106.64 106.64 90.00
Positions (direct):
K 0.354 0.354 0.709
K 0.646 0.646 0.291
Ce 0.000 0.000 0.000
O 0.000 0.500 0.000
O 0.500 0.000 0.000
F 0.168 0.168 0.335
F 0.832 0.832 0.665

DFT (PBE) results for HoZn3Pd2 after structural relaxation.

SG: No. 12
Final energy: -3.6647 eV per atom
Formation energy: -52 kJ per mole of atoms

abc: 4.113 7.176 8.663
angles: 120.54 90.00 106.65
Positions (direct):
Ho 0.869 0.737 0.988
Ho 0.131 0.263 0.012
Zn 0.276 0.552 0.438
Zn 0.943 0.885 0.608
Zn 0.585 0.170 0.709
Zn 0.415 0.830 0.291
Zn 0.057 0.115 0.392
Zn 0.724 0.448 0.562
Pd 0.432 0.863 0.801
Pd 0.568 0.137 0.199
Pd 0.793 0.586 0.259
Pd 0.207 0.414 0.741

DFT (PBE) results for BaCdC3 after structural relaxation.

SG: No. 221
E above lowest polymorph: 0.00 kcal/mol of atoms
Final energy: -3.6845 eV per atom
Formation energy: 233 kJ per mole of atoms

abc: 4.509 4.509 4.509
angles: 90.00 90.00 90.00
Positions (direct):
C 0.000 0.500 0.000
C 0.000 0.000 0.500
C 0.500 0.000 0.000
Ba 0.500 0.500 0.500
Cd 0.000 0.000 0.000

DFT (PBE) results for RbVSn2Br8 after structural relaxation.

SG: No. 2
Uncorrected formation energy: -0.96 eV per atom
Final energy: -3.5802 eV per atom

abc: 7.632 7.525 9.647
angles: 80.28 55.17 81.17
Site moments in Bohr magnetons follow the coordinates.
Positions (direct):
Rb 0.000 0.000 0.500  0.00
V 0.000 0.000 0.000  1.92
Sn 0.242 0.444 0.765  0.00
Sn 0.758 0.556 0.235  0.00
Br 0.240 0.722 0.987  -0.03
Br 0.738 0.908 0.319  -0.02
Br 0.201 0.191 0.057  -0.02
Br 0.760 0.278 0.013  -0.03
Br 0.262 0.092 0.681  -0.02
Br 0.799 0.809 0.943  -0.02
Br 0.691 0.421 0.579  0.00
Br 0.309 0.579 0.421  0.00

DFT (PBE) results for Mg2TaVS after structural relaxation.

SG: No. 123
Uncorrected formation energy: 0.48 eV per atom
Final energy: -5.1771 eV per atom

abc: 4.648 4.659 4.648
angles: 90.00 90.00 90.00
Site moments in Bohr magnetons follow the coordinates.
Positions (direct):
S 0.000 0.000 0.000  0.06
V 0.500 0.500 0.500  2.43
Mg 0.000 0.000 0.500  0.00
Mg 0.500 0.000 0.000  0.00
Ta 0.000 0.500 0.000  -0.37

DFT (PBE) results for MnBeZn2 after structural relaxation.

SG: No. 166
Final energy: -3.6291 eV per atom
Formation energy: 22 kJ per mole of atoms

abc: 8.582 8.582 8.582
angles: 17.35 17.35 17.35
Site moments in Bohr magnetons follow the coordinates.
Positions (direct):
Be 0.250 0.250 0.250  0.00
Zn 0.997 0.997 0.997  -0.01
Zn 0.503 0.503 0.503  -0.01
Mn 0.750 0.750 0.750  1.94

DFT (PBE) results for K3NpSc2Te6 after structural relaxation.

SG: No. 12
Uncorrected formation energy: -1.12 eV per atom
Final energy: -5.0996 eV per atom

abc: 7.636 7.636 8.574
angles: 98.57 98.57 120.07
Site moments in Bohr magnetons follow the coordinates.
Positions (direct):
K 0.162 0.838 0.500  0.00
K 0.838 0.162 0.500  0.00
K 0.500 0.500 0.500  0.00
Np 0.000 0.000 0.000  3.92
Sc 0.333 0.667 0.000  0.06
Sc 0.667 0.333 0.000  0.06
Te 0.932 0.584 0.798  -0.03
Te 0.718 0.718 0.201  -0.03
Te 0.068 0.416 0.202  -0.03
Te 0.584 0.932 0.798  -0.03
Te 0.282 0.282 0.799  -0.03
Te 0.416 0.068 0.202  -0.03

DFT (PBE) results for MgCoHg2 after structural relaxation.

SG: No. 160
Final energy: -2.0544 eV per atom
Formation energy: 26 kJ per mole of atoms

abc: 9.670 9.670 9.670
angles: 18.36 18.36 18.36
Site moments in Bohr magnetons follow the coordinates.
Positions (direct):
Co 0.754 0.754 0.754  1.48
Hg 0.013 0.013 0.013  0.01
Hg 0.245 0.245 0.245  0.00
Mg 0.488 0.488 0.488  -0.01

DFT (PBE) results for Na2HgBi4 after structural relaxation.

SG: No. 8
Final energy: -2.7742 eV per atom
Formation energy: -13 kJ per mole of atoms

abc: 6.390 6.390 7.286
angles: 115.98 115.98 90.04
Positions (direct):
Na 0.286 0.786 0.572
Na 0.786 0.286 0.572
Hg 0.785 0.785 0.571
Bi 0.788 0.788 0.011
Bi 0.224 0.224 0.011
Bi 0.784 0.347 0.131
Bi 0.347 0.784 0.131

DFT (PBE) results for La2Er15Tm2 after structural relaxation.

SG: No. 166
Final energy: -4.2954 eV per atom
Formation energy: 29 kJ per mole of atoms

abc: 8.668 8.668 8.668
angles: 79.76 79.76 79.76
Positions (direct):
La 0.882 0.882 0.882
La 0.118 0.118 0.118
Er 0.000 0.500 0.000
Er 0.000 0.000 0.500
Er 0.500 0.000 0.000
Er 0.307 0.000 0.693
Er 0.693 0.307 0.000
Er 0.000 0.693 0.307
Er 0.307 0.693 0.000
Er 0.000 0.307 0.693
Er 0.693 0.000 0.307
Er 0.369 0.846 0.369
Er 0.369 0.369 0.846
Er 0.846 0.369 0.369
Er 0.631 0.154 0.631
Er 0.631 0.631 0.154
Er 0.154 0.631 0.631
Tm 0.670 0.670 0.670
Tm 0.330 0.330 0.330

DFT (PBE) results for La3Dy3TmS8 after structural relaxation.

SG: No. 166
Uncorrected formation energy: -2.11 eV per atom
Final energy: -6.5112 eV per atom

abc: 7.942 7.943 8.112
angles: 119.31 89.98 120.01
Positions (direct):
La 0.000 0.000 0.000
La 0.000 0.500 0.000
La 0.500 0.500 0.000
Dy 0.500 0.000 0.500
Dy 0.500 0.500 0.500
Dy 0.000 0.500 0.500
Tm 0.000 0.000 0.500
S 0.257 0.513 0.270
S 0.743 0.487 0.730
S 0.758 0.517 0.271
S 0.242 0.483 0.729
S 0.758 0.013 0.271
S 0.242 0.987 0.729
S 0.255 0.013 0.271
S 0.745 0.987 0.729

DFT (PBE) results for RbGaSn after structural relaxation.

SG: No. 11
Final energy: -2.8376 eV per atom
Formation energy: -17 kJ per mole of atoms

abc: 8.036 4.623 5.943
angles: 90.00 90.00 90.00
Positions (direct):
Ga 0.562 0.250 0.499
Ga 0.438 0.750 0.501
Sn 0.897 0.250 0.501
Sn 0.103 0.750 0.499
Rb 0.253 0.250 0.999
Rb 0.747 0.750 0.001

DFT (PBE) results for TlOs2 after structural relaxation.

SG: No. 194
E above lowest polymorph: 8.47 kcal/mol of atoms
Final energy: -7.3363 eV per atom
Formation energy: 91 kJ per mole of atoms

abc: 4.299 4.299 6.828
angles: 90.00 90.00 120.00
Positions (direct):
Tl 0.000 0.000 0.250
Tl 0.000 0.000 0.750
Os 0.667 0.333 0.447
Os 0.333 0.667 0.947
Os 0.333 0.667 0.553
Os 0.667 0.333 0.053

DFT (PBE) results for MnVCr14 after structural relaxation.

SG: No. 65
Final energy: -9.5929 eV per atom
Formation energy: -3 kJ per mole of atoms

abc: 4.959 4.959 8.141
angles: 90.00 90.00 109.21
Site moments in Bohr magnetons follow the coordinates.
Positions (direct):
Mn 0.125 0.875 0.500  1.35
V 0.625 0.375 0.500  0.62
Cr 0.125 0.875 0.000  1.03
Cr 0.625 0.375 0.000  1.05
Cr 0.125 0.375 0.500  -1.01
Cr 0.125 0.375 0.000  -1.09
Cr 0.625 0.875 0.500  -1.01
Cr 0.625 0.875 0.000  -1.09
Cr 0.375 0.125 0.752  -1.04
Cr 0.375 0.125 0.248  -1.04
Cr 0.875 0.625 0.752  -1.04
Cr 0.875 0.625 0.248  -1.04
Cr 0.374 0.626 0.750  1.06
Cr 0.374 0.626 0.250  1.06
Cr 0.876 0.124 0.750  1.06
Cr 0.876 0.124 0.250  1.06

DFT (PBE) results for Sm5AgAu2 after structural relaxation.

SG: No. 140
Final energy: -4.5704 eV per atom
Formation energy: -43 kJ per mole of atoms

abc: 8.276 8.276 8.736
angles: 118.27 118.27 90.00
Positions (direct):
Sm 0.513 0.697 0.710
Sm 0.803 0.987 0.290
Sm 0.000 0.000 0.000
Sm 0.500 0.500 0.000
Sm 0.197 0.013 0.710
Sm 0.697 0.197 0.710
Sm 0.013 0.513 0.710
Sm 0.303 0.803 0.290
Sm 0.987 0.487 0.290
Sm 0.487 0.303 0.290
Ag 0.750 0.750 0.500
Ag 0.250 0.250 0.500
Au 0.133 0.367 0.000
Au 0.633 0.133 0.000
Au 0.367 0.867 0.000
Au 0.867 0.633 0.000

DFT (PBE) results for CaHoIr after structural relaxation.

SG: No. 216
E above lowest polymorph: 0.00 kcal/mol of atoms
Final energy: -5.6628 eV per atom
Formation energy: -50 kJ per mole of atoms

abc: 4.805 4.805 4.805
angles: 60.00 60.00 60.00
Positions (direct):
Ca 0.000 0.000 0.000
Ir 0.250 0.250 0.250
Ho 0.500 0.500 0.500

DFT (PBE) results for Ta3Nb4Mo2 after structural relaxation.

SG: No. 12
Final energy: -10.9078 eV per atom
Formation energy: -7 kJ per mole of atoms

abc: 3.258 7.340 7.169
angles: 107.84 103.13 90.00
Positions (direct):
Ta 0.888 0.323 0.776
Ta 0.112 0.677 0.224
Ta 0.000 0.000 0.000
Nb 0.780 0.673 0.560
Nb 0.220 0.327 0.440
Nb 0.443 0.665 0.887
Nb 0.557 0.335 0.113
Mo 0.669 0.001 0.337
Mo 0.331 0.999 0.663

DFT (PBE) results for PPtPb2 after structural relaxation.

SG: No. 6
Final energy: -4.8755 eV per atom
Formation energy: -15 kJ per mole of atoms

abc: 4.284 4.878 4.889
angles: 72.60 90.00 90.00
Positions (direct):
P 0.500 0.312 0.312
Pt 0.000 0.441 0.441
Pb 0.000 0.054 0.054
Pb 0.500 0.693 0.693

DFT (PBE) results for Sm2Ga2Cu15 after structural relaxation.

SG: No. 166
Final energy: -4.1971 eV per atom
Formation energy: -14 kJ per mole of atoms

abc: 6.542 6.542 6.542
angles: 82.85 82.85 82.85
Positions (direct):
Sm 0.348 0.348 0.348
Sm 0.652 0.652 0.652
Ga 0.103 0.103 0.103
Ga 0.897 0.897 0.897
Cu 0.500 0.000 0.000
Cu 0.000 0.000 0.500
Cu 0.000 0.500 0.000
Cu 0.000 0.700 0.300
Cu 0.700 0.300 0.000
Cu 0.300 0.000 0.700
Cu 0.300 0.700 0.000
Cu 0.700 0.000 0.300
Cu 0.000 0.300 0.700
Cu 0.154 0.653 0.653
Cu 0.653 0.653 0.154
Cu 0.653 0.154 0.653
Cu 0.846 0.347 0.347
Cu 0.347 0.347 0.846
Cu 0.347 0.846 0.347

DFT (PBE) results for Cs8KBr2 after structural relaxation.

SG: No. 12
Uncorrected formation energy: -0.61 eV per atom
Final energy: -1.6369 eV per atom

abc: 7.411 12.013 12.013
angles: 83.22 71.98 71.98
Positions (direct):
Cs 0.154 0.014 0.679
Cs 0.154 0.679 0.014
Cs 0.838 0.662 0.662
Cs 0.500 0.673 0.327
Cs 0.500 0.327 0.673
Cs 0.162 0.338 0.338
Cs 0.846 0.321 0.986
Cs 0.846 0.986 0.321
K 0.500 0.000 0.000
Br 0.000 0.339 0.661
Br 0.000 0.661 0.339